(1)
Entry from the Open Quantum Materials Database: BiPt9 after structural relaxation (PBE-GGA).

abc: 4.6591 3.0368 36.9475
angles: 90.00 92.26 90.00
Closest atoms and distances in Å follow each position.
Space group P2_1/m (No. 11)
Symmetry-distinct sites (fractional):
Bi1 0.1012 0.2500 0.3024 (multiplicity 2)  3 Pt 2.71-2.81
Pt1 0.0822 0.2500 0.1202 (multiplicity 2)  12 Pt 2.77-3.04
Pt2 0.0822 0.2500 0.9397 (multiplicity 2)  12 Pt 2.76-3.04
Pt3 0.1006 0.2500 0.7572 (multiplicity 2)  9 Pt 2.72-3.04, 2 Bi 2.81
Pt4 0.2427 0.7500 0.1805 (multiplicity 2)  12 Pt 2.77-3.04
Pt5 0.2491 0.7500 0.0000 (multiplicity 2)  12 Pt 2.75-3.04
Pt6 0.2566 0.7500 0.8189 (multiplicity 2)  12 Pt 2.78-3.04
Pt7 0.4140 0.2500 0.2422 (multiplicity 2)  1 Bi 2.71, 7 Pt 2.72-2.84
Pt8 0.4181 0.2500 0.0599 (multiplicity 2)  12 Pt 2.75-3.04
Pt9 0.4180 0.2500 0.8797 (multiplicity 2)  12 Pt 2.76-3.04

Computed properties:
polymorph energy (0 for the lowest one) = 28 meV per atom

---

(2)
Entry from the Open Quantum Materials Database: BeNb2Pt after structural relaxation (PBE-GGA).

abc: 6.2880 6.2880 6.2880
angles: 90.00 90.00 90.00
Closest atoms and distances in Å follow each position.
Space group F-43m (No. 216)
Symmetry-distinct sites (fractional):
Be1 0.0000 0.0000 0.0000 (multiplicity 4)  4 Pt 2.72, 4 Nb 2.72
Nb1 0.0000 0.0000 0.5000 (multiplicity 4)  4 Nb 2.72, 4 Pt 2.72
Nb2 0.2500 0.2500 0.7500 (multiplicity 4)  4 Nb 2.72, 4 Be 2.72
Pt1 0.2500 0.2500 0.2500 (multiplicity 4)  4 Nb 2.72, 4 Be 2.72

Computed properties:
VASP energy = -119.99 eV for the cell shown